The following is a PBE calculation of crystalline KFeSe3 at its relaxed geometry, from the Alexandria database.

Properties
* energy relative to the elements, uncorrected: -54 kJ/mol of formula units
* space-group type: Pm-3m
* total moment: 0.000 μB per atom
* theoretical density: 4.8 g cm⁻³
* polymorph energy (0 for the lowest one): 0.00 eV/f.u.
* calculated total energy: -20.57 eV/cell

abc: 4.8498 4.8498 4.8498
angles: 90.00 90.00 90.00
Closest atoms and distances in Å follow each position.
Element x y z (fractional)
Se 0.0000 0.5000 0.0000  2 Fe 2.42
Se 0.0000 0.0000 0.5000  2 Fe 2.42
Se 0.5000 0.0000 0.0000  2 Fe 2.42
Fe 0.0000 0.0000 0.0000  6 Se 2.42
K 0.5000 0.5000 0.5000  12 Se 3.43